# Sn2PtRh | Alexandria | PBE | optimized geometry
# DOS at the Fermi energy   0.654 states/eV/atom
# Magnetic moment   0.00 Bohr magnetons per cell
# Energy of formation   -0.353 eV/atom
# Excess energy over the best structure of this formula in the dataset   0 meV per atom
data_Sn2PtRh
_chemical_formula_sum 'Sn4 Pt2 Rh2'
_cell_length_a 3.054
_cell_length_b 4.040
_cell_length_c 12.735
_cell_angle_alpha 90.00
_cell_angle_beta 90.00
_cell_angle_gamma 90.00
_symmetry_space_group_name_H-M 'I m m 2'
_symmetry_Int_Tables_number 44
_symmetry_space_group_name_Hall 'I 2 -2'
loop_
_atom_site_label
_atom_site_fract_x
_atom_site_fract_y
_atom_site_fract_z
Sn1 0.000 0.000 0.000
Sn2 0.000 0.500 0.246
Pt1 0.000 0.500 0.848
Rh1 0.000 0.000 0.568

# NbGaReIr | Alexandria | PBE | optimized geometry
# DOS at the Fermi energy   0.096 states/eV/atom
# Magnetic moment   0.00 Bohr magnetons per cell
# Energy of formation   -0.259 eV/atom
data_NbGaReIr
_chemical_formula_sum 'Nb4 Ga4 Re4 Ir4'
_cell_length_a 6.288
_cell_length_b 6.288
_cell_length_c 6.288
_cell_angle_alpha 90.00
_cell_angle_beta 90.00
_cell_angle_gamma 90.00
_symmetry_space_group_name_H-M 'F -4 3 m'
_symmetry_Int_Tables_number 216
_symmetry_space_group_name_Hall 'F -4 2 3'
loop_
_atom_site_label
_atom_site_fract_x
_atom_site_fract_y
_atom_site_fract_z
Nb1 0.000 0.000 0.000
Ga1 0.000 0.000 0.500
Re1 0.250 0.250 0.750
Ir1 0.250 0.250 0.250

# Cs2VHg2Cl4 | Alexandria | PBE | optimized geometry
# DOS at the Fermi energy   0.979 states/eV/atom
# Magnetic moment   6.00 Bohr magnetons per cell
# Formation energy without anion corrections   -1.21 eV per atom
data_Cs2VHg2Cl4
_chemical_formula_sum 'Cs4 V2 Hg4 Cl8'
_cell_length_a 8.111
_cell_length_b 8.111
_cell_length_c 8.863
_cell_angle_alpha 90.00
_cell_angle_beta 90.00
_cell_angle_gamma 90.00
_symmetry_space_group_name_H-M 'I 4/m m m'
_symmetry_Int_Tables_number 139
_symmetry_space_group_name_Hall '-I 4 2'
loop_
_atom_site_label
_atom_site_fract_x
_atom_site_fract_y
_atom_site_fract_z
Cs1 0.000 0.500 0.250
V1 0.000 0.000 0.000
Hg1 0.000 0.000 0.327
Cl1 0.212 0.212 0.000

# Cs2ZrB2S6 | Alexandria | PBE | optimized geometry
# Magnetic moment   0.00 Bohr magnetons per cell
# Formation energy without anion corrections   -0.93 eV per atom
data_Cs2ZrB2S6
_chemical_formula_sum 'Cs4 Zr2 B4 S12'
_cell_length_a 11.565
_cell_length_b 6.648
_cell_length_c 8.446
_cell_angle_alpha 90.00
_cell_angle_beta 114.48
_cell_angle_gamma 90.00
_symmetry_space_group_name_H-M 'C 1 2/m 1'
_symmetry_Int_Tables_number 12
_symmetry_space_group_name_Hall '-C 2y'
loop_
_atom_site_label
_atom_site_fract_x
_atom_site_fract_y
_atom_site_fract_z
Cs1 0.207 0.000 0.153
Zr1 0.000 0.000 0.500
B1 0.090 0.500 0.316
S1 0.002 0.266 0.726
S2 0.244 0.000 0.650

# V5P3Pt12 | Alexandria | PBE | optimized geometry
# DOS at the Fermi energy   0.674 states/eV/atom
# Magnetic moment   0.01 Bohr magnetons per cell
# Energy of formation   0.114 eV/atom
data_V5P3Pt12
_chemical_formula_sum 'V40 P24 Pt96'
_cell_length_a 14.266
_cell_length_b 14.266
_cell_length_c 14.266
_cell_angle_alpha 90.00
_cell_angle_beta 90.00
_cell_angle_gamma 90.00
_symmetry_space_group_name_H-M 'I a -3 d'
_symmetry_Int_Tables_number 230
_symmetry_space_group_name_Hall '-I 4bd 2c 3'
loop_
_atom_site_label
_atom_site_fract_x
_atom_site_fract_y
_atom_site_fract_z
V1 0.000 0.000 0.000
V2 0.000 0.250 0.375
P1 0.000 0.250 0.125
Pt1 0.026 0.088 0.645

# TiRuS2 | Alexandria | PBE | optimized geometry
# DOS at the Fermi energy   1.256 states/eV/atom
# Magnetic moment   0.00 Bohr magnetons per cell
# Excess energy over the best structure of this formula in the dataset   116 meV per atom
# Formation energy without anion corrections   -0.47 eV per atom
data_TiRuS2
_chemical_formula_sum 'Ti4 Ru4 S8'
_cell_length_a 6.038
_cell_length_b 6.038
_cell_length_c 6.038
_cell_angle_alpha 90.00
_cell_angle_beta 90.00
_cell_angle_gamma 90.00
_symmetry_space_group_name_H-M 'F m -3 m'
_symmetry_Int_Tables_number 225
_symmetry_space_group_name_Hall '-F 4 2 3'
loop_
_atom_site_label
_atom_site_fract_x
_atom_site_fract_y
_atom_site_fract_z
Ti1 0.000 0.000 0.000
Ru1 0.000 0.000 0.500
S1 0.250 0.250 0.250

# Pr8CuRh2 | Alexandria | PBE | optimized geometry
# DOS at the Fermi energy   1.086 states/eV/atom
# Magnetic moment   0.00 Bohr magnetons per cell
# Energy of formation   -0.189 eV/atom
data_Pr8CuRh2
_chemical_formula_sum 'Pr16 Cu2 Rh4'
_cell_length_a 8.607
_cell_length_b 12.730
_cell_length_c 6.485
_cell_angle_alpha 90.00
_cell_angle_beta 108.64
_cell_angle_gamma 90.00
_symmetry_space_group_name_H-M 'C 1 m 1'
_symmetry_Int_Tables_number 8
_symmetry_space_group_name_Hall 'C -2y'
loop_
_atom_site_label
_atom_site_fract_x
_atom_site_fract_y
_atom_site_fract_z
Pr1 0.000 0.000 0.000
Pr2 0.076 0.364 0.828
Pr3 0.150 0.134 0.582
Pr4 0.216 0.500 0.393
Pr5 0.369 0.209 0.204
Cu1 0.354 0.000 0.988
Rh1 0.360 0.316 0.694

# ZnOsPb2 | Alexandria | PBE | optimized geometry
# DOS at the Fermi energy   0.432 states/eV/atom
# Magnetic moment   0.00 Bohr magnetons per cell
# Energy of formation   0.599 eV/atom
data_ZnOsPb2
_chemical_formula_sum 'Zn1 Os1 Pb2'
_cell_length_a 3.265
_cell_length_b 3.385
_cell_length_c 8.492
_cell_angle_alpha 90.00
_cell_angle_beta 101.00
_cell_angle_gamma 90.00
_symmetry_space_group_name_H-M 'P 1 2/m 1'
_symmetry_Int_Tables_number 10
_symmetry_space_group_name_Hall '-P 2y'
loop_
_atom_site_label
_atom_site_fract_x
_atom_site_fract_y
_atom_site_fract_z
Zn1 0.000 0.000 0.000
Os1 0.500 0.000 0.500
Pb1 0.112 0.500 0.707

# Zn2CdCu | Alexandria | PBE | optimized geometry
# DOS at the Fermi energy   0.328 states/eV/atom
# Magnetic moment   0.00 Bohr magnetons per cell
# Energy of formation   0.017 eV/atom
data_Zn2CdCu
_chemical_formula_sum 'Zn2 Cd1 Cu1'
_cell_length_a 2.989
_cell_length_b 2.989
_cell_length_c 7.086
_cell_angle_alpha 90.00
_cell_angle_beta 90.00
_cell_angle_gamma 90.00
_symmetry_space_group_name_H-M 'P 4/m m m'
_symmetry_Int_Tables_number 123
_symmetry_space_group_name_Hall '-P 4 2'
loop_
_atom_site_label
_atom_site_fract_x
_atom_site_fract_y
_atom_site_fract_z
Zn1 0.000 0.000 0.206
Cd1 0.500 0.500 0.500
Cu1 0.500 0.500 0.000

# BiSb2Te2 | Alexandria | PBE | optimized geometry
# DOS at the Fermi energy   0.719 states/eV/atom
# Magnetic moment   0.00 Bohr magnetons per cell
# Excess energy over the best structure of this formula in the dataset   97 meV per atom
# Formation energy without anion corrections   0.20 eV per atom
data_BiSb2Te2
_chemical_formula_sum 'Bi2 Sb4 Te4'
_cell_length_a 8.794
_cell_length_b 8.794
_cell_length_c 3.943
_cell_angle_alpha 90.00
_cell_angle_beta 90.00
_cell_angle_gamma 90.00
_symmetry_space_group_name_H-M 'P 4/m b m'
_symmetry_Int_Tables_number 127
_symmetry_space_group_name_Hall '-P 4 2ab'
loop_
_atom_site_label
_atom_site_fract_x
_atom_site_fract_y
_atom_site_fract_z
Bi1 0.000 0.000 0.000
Sb1 0.165 0.335 0.500
Te1 0.153 0.653 0.000

# TbYZnSi | Alexandria | PBE | optimized geometry
# DOS at the Fermi energy   0.411 states/eV/atom
# Magnetic moment   0.00 Bohr magnetons per cell
# Excess energy over the best structure of this formula in the dataset   115 meV per atom
# Formation energy without anion corrections   -0.47 eV per atom
data_TbYZnSi
_chemical_formula_sum 'Tb4 Y4 Zn4 Si4'
_cell_length_a 7.060
_cell_length_b 7.060
_cell_length_c 7.060
_cell_angle_alpha 90.00
_cell_angle_beta 90.00
_cell_angle_gamma 90.00
_symmetry_space_group_name_H-M 'F -4 3 m'
_symmetry_Int_Tables_number 216
_symmetry_space_group_name_Hall 'F -4 2 3'
loop_
_atom_site_label
_atom_site_fract_x
_atom_site_fract_y
_atom_site_fract_z
Tb1 0.000 0.000 0.000
Y1 0.000 0.000 0.500
Zn1 0.250 0.250 0.750
Si1 0.250 0.250 0.250

# KGeSeBr2 | Alexandria | PBE | optimized geometry
# DOS at the Fermi energy   1.284 states/eV/atom
# Magnetic moment   0.19 Bohr magnetons per cell
# Excess energy over the best structure of this formula in the dataset   0 meV per atom
# Formation energy without anion corrections   -0.71 eV per atom
data_KGeSeBr2
_chemical_formula_sum 'K1 Ge1 Se1 Br2'
_cell_length_a 5.554
_cell_length_b 5.554
_cell_length_c 5.064
_cell_angle_alpha 90.00
_cell_angle_beta 90.00
_cell_angle_gamma 90.00
_symmetry_space_group_name_H-M 'P 4/m m m'
_symmetry_Int_Tables_number 123
_symmetry_space_group_name_Hall '-P 4 2'
loop_
_atom_site_label
_atom_site_fract_x
_atom_site_fract_y
_atom_site_fract_z
K1 0.000 0.000 0.000
Ge1 0.500 0.500 0.500
Se1 0.500 0.500 0.000
Br1 0.000 0.500 0.500

# Sm8P3S4O | Alexandria | PBE | optimized geometry
# DOS at the Fermi energy   0.433 states/eV/atom
# Magnetic moment   0.00 Bohr magnetons per cell
# Formation energy without anion corrections   -1.94 eV per atom
data_Sm8P3S4O
_chemical_formula_sum 'Sm24 P9 S12 O3'
_cell_length_a 7.9677
_cell_length_b 7.9677
_cell_length_c 19.7429
_cell_angle_alpha 90.00
_cell_angle_beta 90.00
_cell_angle_gamma 120.00
_symmetry_space_group_name_H-M 'R -3 m'
_symmetry_Int_Tables_number 166
_symmetry_space_group_name_Hall '-R 3 2"'
loop_
_atom_site_label
_atom_site_fract_x
_atom_site_fract_y
_atom_site_fract_z
Sm1 0.0000 0.0000 0.2479
Sm2 0.0113 0.5057 0.2447
P1 0.0000 0.5000 0.5000
S1 0.0000 0.0000 0.0000
S2 0.0000 0.5000 0.0000
O1 0.0000 0.0000 0.5000

# Zr4TlTe | Alexandria | PBE | optimized geometry
# DOS at the Fermi energy   1.248 states/eV/atom
# Magnetic moment   0.00 Bohr magnetons per cell
# Formation energy without anion corrections   0.15 eV per atom
data_Zr4TlTe
_chemical_formula_sum 'Zr16 Tl4 Te4'
_cell_length_a 8.311
_cell_length_b 8.311
_cell_length_c 8.311
_cell_angle_alpha 90.00
_cell_angle_beta 90.00
_cell_angle_gamma 90.00
_symmetry_space_group_name_H-M 'F -4 3 m'
_symmetry_Int_Tables_number 216
_symmetry_space_group_name_Hall 'F -4 2 3'
loop_
_atom_site_label
_atom_site_fract_x
_atom_site_fract_y
_atom_site_fract_z
Zr1 0.124 0.124 0.376
Tl1 0.250 0.250 0.750
Te1 0.000 0.000 0.000

# Ta2CuRh | Alexandria | PBE | optimized geometry
# DOS at the Fermi energy   0.704 states/eV/atom
# Magnetic moment   0.00 Bohr magnetons per cell
# Energy of formation   -0.185 eV/atom
data_Ta2CuRh
_chemical_formula_sum 'Ta2 Cu1 Rh1'
_cell_length_a 3.961
_cell_length_b 3.961
_cell_length_c 3.961
_cell_angle_alpha 90.00
_cell_angle_beta 90.00
_cell_angle_gamma 90.00
_symmetry_space_group_name_H-M 'P 4/m m m'
_symmetry_Int_Tables_number 123
_symmetry_space_group_name_Hall '-P 4 2'
loop_
_atom_site_label
_atom_site_fract_x
_atom_site_fract_y
_atom_site_fract_z
Ta1 0.000 0.500 0.000
Cu1 0.000 0.000 0.500
Rh1 0.500 0.500 0.500

# NpAlTc | Alexandria | PBE | optimized geometry
# DOS at the Fermi energy   1.285 states/eV/atom
# Magnetic moment   6.72 Bohr magnetons per cell
# Energy of formation   0.102 eV/atom
# Excess energy over the best structure of this formula in the dataset   134 meV per atom
data_NpAlTc
_chemical_formula_sum 'Np4 Al4 Tc4'
_cell_length_a 8.040
_cell_length_b 3.303
_cell_length_c 8.874
_cell_angle_alpha 90.00
_cell_angle_beta 111.07
_cell_angle_gamma 90.00
_symmetry_space_group_name_H-M 'C 1 2/m 1'
_symmetry_Int_Tables_number 12
_symmetry_space_group_name_Hall '-C 2y'
loop_
_atom_site_label
_atom_site_fract_x
_atom_site_fract_y
_atom_site_fract_z
Np1 0.217 0.000 0.091
Al1 0.182 0.000 0.586
Tc1 0.047 0.000 0.259

# K2CaMg | Alexandria | PBE | optimized geometry
# DOS at the Fermi energy   0.700 states/eV/atom
# Magnetic moment   0.00 Bohr magnetons per cell
# Energy of formation   0.204 eV/atom
data_K2CaMg
_chemical_formula_sum 'K2 Ca1 Mg1'
_cell_length_a 4.492
_cell_length_b 6.020
_cell_length_c 6.711
_cell_angle_alpha 90.00
_cell_angle_beta 90.00
_cell_angle_gamma 90.00
_symmetry_space_group_name_H-M 'P m m m'
_symmetry_Int_Tables_number 47
_symmetry_space_group_name_Hall '-P 2 2'
loop_
_atom_site_label
_atom_site_fract_x
_atom_site_fract_y
_atom_site_fract_z
K1 0.000 0.000 0.000
K2 0.500 0.500 0.000
Ca1 0.000 0.500 0.500
Mg1 0.500 0.000 0.500

# SmZr3Al8 | Alexandria | PBE | optimized geometry
# DOS at the Fermi energy   0.477 states/eV/atom
# Magnetic moment   0.00 Bohr magnetons per cell
# Energy of formation   -0.504 eV/atom
data_SmZr3Al8
_chemical_formula_sum 'Sm1 Zr3 Al8'
_cell_length_a 5.3606
_cell_length_b 5.3606
_cell_length_c 8.9673
_cell_angle_alpha 90.00
_cell_angle_beta 90.00
_cell_angle_gamma 120.00
_symmetry_space_group_name_H-M 'P 3 m 1'
_symmetry_Int_Tables_number 156
_symmetry_space_group_name_Hall 'P 3 -2"'
loop_
_atom_site_label
_atom_site_fract_x
_atom_site_fract_y
_atom_site_fract_z
Sm1 0.0000 0.0000 0.0000
Zr1 0.0000 0.0000 0.3715
Zr2 0.6667 0.3333 0.5015
Zr3 0.6667 0.3333 0.8588
Al1 0.1630 0.3260 0.6795
Al2 0.3333 0.6667 0.4374
Al3 0.3333 0.6667 0.9332
Al4 0.5038 0.0076 0.1932

# Ag5Cl | Alexandria | PBE | optimized geometry
# DOS at the Fermi energy   0.276 states/eV/atom
# Magnetic moment   0.00 Bohr magnetons per cell
# Excess energy over the best structure of this formula in the dataset   74 meV per atom
# Formation energy without anion corrections   0.05 eV per atom
data_Ag5Cl
_chemical_formula_sum 'Ag10 Cl2'
_cell_length_a 4.540
_cell_length_b 3.231
_cell_length_c 15.949
_cell_angle_alpha 90.00
_cell_angle_beta 90.00
_cell_angle_gamma 90.00
_symmetry_space_group_name_H-M 'A m m 2'
_symmetry_Int_Tables_number 38
_symmetry_space_group_name_Hall 'A 2 -2'
loop_
_atom_site_label
_atom_site_fract_x
_atom_site_fract_y
_atom_site_fract_z
Ag1 0.000 0.000 0.000
Ag2 0.000 0.000 0.305
Ag3 0.000 0.000 0.653
Ag4 0.500 0.000 0.193
Ag5 0.500 0.000 0.542
Cl1 0.500 0.000 0.881

# SiMo2Pb | Alexandria | PBE | optimized geometry
# DOS at the Fermi energy   0.705 states/eV/atom
# Magnetic moment   0.00 Bohr magnetons per cell
# Excess energy over the best structure of this formula in the dataset   84 meV per atom
# Formation energy without anion corrections   0.24 eV per atom
data_SiMo2Pb
_chemical_formula_sum 'Si1 Mo2 Pb1'
_cell_length_a 3.173
_cell_length_b 3.173
_cell_length_c 7.048
_cell_angle_alpha 90.00
_cell_angle_beta 90.00
_cell_angle_gamma 90.00
_symmetry_space_group_name_H-M 'P 4/m m m'
_symmetry_Int_Tables_number 123
_symmetry_space_group_name_Hall '-P 4 2'
loop_
_atom_site_label
_atom_site_fract_x
_atom_site_fract_y
_atom_site_fract_z
Si1 0.000 0.000 0.000
Mo1 0.500 0.500 0.183
Pb1 0.000 0.000 0.500